KFe2Br PBE-GGA relaxed; D(E_F) = 4.21 states/eV/f.u.; energy relative to the lowest polymorph listed for this composition = 68.1 kJ per mole of atoms; space group = No. 119; uncorrected formation energy = 910 meV/atom; V = 87 Å³ per cell; uncorrected energy = -4.014 eV/atom; total magnetic moment = 6.02 Bohr magnetons per cell
1.0
-0.357 -2.107 -4.499
-3.675 -2.919 1.667
-0.349 4.946 0.464
Br Fe K
1 2 1
Cartesian
-1.361 0.163 -2.725 Br
0.000 0.000 0.000 Fe
-3.020 -0.243 0.358 Fe
-2.016 -2.513 -1.416 K

---

KFe2Br PBE-GGA relaxed; D(E_F) = 3.52 states/eV/f.u.; energy relative to the lowest polymorph listed for this composition = 27.3 kJ per mole of atoms; space group = No. 44; uncorrected formation energy = 487 meV/atom; V = 104 Å³ per cell; uncorrected energy = -4.437 eV/atom; total magnetic moment = 5.59 Bohr magnetons per cell
1.0
-3.798 0.063 4.967
3.031 -1.744 5.184
-0.920 4.095 -4.635
Br Fe K
1 2 1
Cartesian
0.911 0.859 2.187 Br
-0.765 -1.675 10.117 Fe
-2.617 1.516 3.568 Fe
-0.368 -0.806 4.870 K

---

KFe2Br PBE-GGA relaxed; D(E_F) = 3.90 states/eV/f.u.; energy relative to the lowest polymorph listed for this composition = 68.6 kJ per mole of atoms; space group = No. 123; uncorrected formation energy = 915 meV/atom; V = 100 Å³ per cell; uncorrected energy = -4.008 eV/atom; total magnetic moment = 6.53 Bohr magnetons per cell
1.0
3.749 0.000 0.000
0.000 3.749 0.000
0.000 0.000 7.111
Br Fe K
1 2 1
Cartesian
1.874 1.874 5.333 Br
0.000 0.000 6.433 Fe
0.000 0.000 4.234 Fe
1.874 1.874 1.778 K

---

Please write out number 1 again, unchanged.
KFe2Br PBE-GGA relaxed; D(E_F) = 4.21 states/eV/f.u.; energy relative to the lowest polymorph listed for this composition = 68.1 kJ per mole of atoms; space group = No. 119; uncorrected formation energy = 910 meV/atom; V = 87 Å³ per cell; uncorrected energy = -4.014 eV/atom; total magnetic moment = 6.02 Bohr magnetons per cell
1.0
-0.357 -2.107 -4.499
-3.675 -2.919 1.667
-0.349 4.946 0.464
Br Fe K
1 2 1
Cartesian
-1.361 0.163 -2.725 Br
0.000 0.000 0.000 Fe
-3.020 -0.243 0.358 Fe
-2.016 -2.513 -1.416 K